{
  "formula": "Rb4BiBr6",
  "functional": "PBE",
  "state": "relaxed",
  "crystal_system": "tetragonal",
  "raw_formation_energy_ev_per_atom": -1.340,
  "vol_a3_per_atom": 39.78,
  "sg": "P4/mnc, No. 128",
  "dos_ef_per_ev_cell": 11.9,
  "lattice_angstrom": [[9.536, 0.000, 0.000], [0.000, 9.536, 0.000], [0.000, 0.000, 9.623]],
  "species": ["Rb", "Rb", "Rb", "Rb", "Rb", "Rb", "Rb", "Rb", "Bi", "Bi", "Br", "Br", "Br", "Br", "Br", "Br", "Br", "Br", "Br", "Br", "Br", "Br"],
  "frac_coords": [[0.165, 0.335, 0.250], [0.165, 0.335, 0.750], [0.335, 0.835, 0.250], [0.335, 0.835, 0.750], [0.665, 0.165, 0.250], [0.665, 0.165, 0.750], [0.835, 0.665, 0.250], [0.835, 0.665, 0.750], [0.000, 0.000, 0.000], [0.500, 0.500, 0.500], [0.000, 0.000, 0.299], [0.000, 0.000, 0.701], [0.110, 0.680, 0.000], [0.180, 0.610, 0.500], [0.320, 0.110, 0.000], [0.390, 0.180, 0.500], [0.500, 0.500, 0.201], [0.500, 0.500, 0.799], [0.610, 0.820, 0.500], [0.680, 0.890, 0.000], [0.820, 0.390, 0.500], [0.890, 0.320, 0.000]]
}



{
  "formula": "RbBiBr",
  "functional": "PBE",
  "state": "relaxed",
  "crystal_system": "triclinic",
  "raw_formation_energy_ev_per_atom": -0.927,
  "vol_a3_per_atom": 42.67,
  "sg": "P1, No. 1",
  "dos_ef_per_ev_cell": 0.2,
  "lattice_angstrom": [[4.507, 0.000, 0.000], [-2.240, 5.991, 0.000], [-0.001, -3.335, 9.481]],
  "species": ["Rb", "Rb", "Bi", "Bi", "Br", "Br"],
  "frac_coords": [[0.000, 0.000, 0.000], [0.161, 0.322, 0.669], [0.500, 0.003, 0.323], [0.832, 0.665, 0.315], [0.700, 0.403, 0.960], [0.865, 0.732, 0.635]]
}



{
  "formula": "Rb3BiBr6",
  "functional": "PBE",
  "state": "relaxed",
  "crystal_system": "monoclinic",
  "raw_formation_energy_ev_per_atom": -1.382,
  "vol_a3_per_atom": 42.13,
  "relative_energy_mev_per_atom": 6.1,
  "sg": "P2_1/c, No. 14",
  "dos_ef_per_ev_cell": 0.0,
  "lattice_angstrom": [[8.185, 0.000, 0.000], [0.000, 8.761, 0.000], [-8.002, 0.000, 11.751]],
  "species": ["Rb", "Rb", "Rb", "Rb", "Rb", "Rb", "Bi", "Bi", "Br", "Br", "Br", "Br", "Br", "Br", "Br", "Br", "Br", "Br", "Br", "Br"],
  "frac_coords": [[0.000, 0.000, 0.000], [0.000, 0.500, 0.500], [0.216, 0.077, 0.745], [0.216, 0.423, 0.245], [0.784, 0.577, 0.755], [0.784, 0.923, 0.255], [0.500, 0.000, 0.500], [0.500, 0.500, 0.000], [0.159, 0.177, 0.444], [0.159, 0.323, 0.944], [0.260, 0.725, 0.425], [0.260, 0.775, 0.925], [0.401, 0.055, 0.273], [0.401, 0.445, 0.773], [0.599, 0.555, 0.227], [0.599, 0.945, 0.727], [0.740, 0.225, 0.075], [0.740, 0.275, 0.575], [0.841, 0.677, 0.056], [0.841, 0.823, 0.556]]
}